# 1
This record from Alexandria via LeMat-Bulk describes Tl2CdIn6 after structural relaxation. The functional is GGA-PBE.

Geometry as extended XYZ:
```
9
Lattice="-1.253 1.356 2.735 -3.025 -8.435 2.796 8.562 2.966 2.452" Properties=species:S:1:pos:R:3 pbc="T T T"
Tl 0.211 -3.957 4.049
Tl 4.073 -0.156 3.934
Cd 0.000 0.000 0.000
In 2.593 1.212 1.285
In 3.499 -3.435 4.004
In 4.716 3.110 3.902
In -3.064 -4.546 4.133
In 0.786 -0.678 3.979
In -1.213 -2.533 1.398
```

Calculated values
energy above the lowest structure with this stoichiometry = 0.005 eV/atom
E_tot = -21.7 eV per cell

# 2
This record from Alexandria via LeMat-Bulk describes ZnPSeO2 after structural relaxation. The functional is GGA-PBE.

Geometry as extended XYZ:
```
5
Lattice="3.749 0.000 0.000 0.000 3.749 0.000 0.000 0.000 5.134" Properties=species:S:1:pos:R:3 pbc="T T T"
P 0.000 0.000 2.567
Zn 1.874 1.874 2.567
O 0.000 1.874 0.000
O 1.874 0.000 0.000
Se 0.000 0.000 0.000
```

Calculated values
energy above the lowest structure with this stoichiometry = 0.000 eV/atom
E_tot = -19.7 eV per cell

# 3
This record from Alexandria via LeMat-Bulk describes Be2IrCl after structural relaxation. The functional is GGA-PBE.

Geometry as extended XYZ:
```
4
Lattice="-1.912 2.177 -1.057 -2.134 -0.948 1.906 2.294 4.284 4.676" Properties=species:S:1:pos:R:3 pbc="T T T"
Be 1.483 3.525 4.579
Be -0.961 1.839 1.027
Ir -0.337 4.519 5.419
Cl 0.438 1.582 2.466
```

Calculated values
energy above the lowest structure with this stoichiometry = 0.000 eV/atom
E_tot = -19.8 eV per cell

# 4
This record from Alexandria via LeMat-Bulk describes ThRh after structural relaxation. The functional is GGA-PBE.

Geometry as extended XYZ:
```
4
Lattice="-0.092 2.831 3.680 -0.165 -1.772 4.289 5.882 0.285 2.858" Properties=species:S:1:pos:R:3 pbc="T T T"
Th 4.085 1.009 8.117
Th 1.541 0.334 2.712
Rh 1.080 1.043 8.015
Rh 4.546 0.300 2.813
```

Calculated values
E_tot = -31.9 eV per cell

# 5
This record from Alexandria via LeMat-Bulk describes Cd4Ag2Pd3 after structural relaxation. The functional is GGA-PBE.

Geometry as extended XYZ:
```
9
Lattice="4.287 0.001 0.001 2.143 4.468 0.727 -0.002 0.918 8.593" Properties=species:S:1:pos:R:3 pbc="T T T"
Cd 4.284 3.842 8.128
Cd 2.142 4.646 3.635
Cd 4.285 0.742 5.686
Cd 2.143 1.546 1.192
Ag 2.141 2.269 6.889
Ag 4.286 3.118 2.432
Pd 2.142 1.866 4.010
Pd 0.000 0.000 0.000
Pd 4.285 3.522 5.311
```

Calculated values
E_tot = -27.1 eV per cell

# 6
This record from Alexandria via LeMat-Bulk describes ScAg after structural relaxation. The functional is GGA-PBE.

Geometry as extended XYZ:
```
12
Lattice="7.683 0.000 0.000 0.000 7.683 0.000 0.000 0.000 7.683" Properties=species:S:1:pos:R:3 pbc="T T T"
Sc 1.921 3.841 0.000
Sc 5.762 3.841 0.000
Sc 3.841 0.000 1.921
Sc 3.841 0.000 5.762
Sc 0.000 1.921 3.841
Sc 0.000 5.762 3.841
Ag 1.921 0.000 3.841
Ag 5.762 0.000 3.841
Ag 0.000 3.841 1.921
Ag 0.000 3.841 5.762
Ag 3.841 1.921 0.000
Ag 3.841 5.762 0.000
```

Calculated values
E_tot = -45.8 eV per cell

# 7
This record from Alexandria via LeMat-Bulk describes Ba2PRh2 after structural relaxation. The functional is GGA-PBE.

Geometry as extended XYZ:
```
10
Lattice="-1.285 1.970 -3.700 -4.778 -3.335 -2.713 -8.695 4.998 3.084" Properties=species:S:1:pos:R:3 pbc="T T T"
Ba -4.864 -0.631 -3.842
Ba -10.350 2.187 -3.033
Ba -9.895 4.265 0.512
Ba -4.409 1.447 -0.296
P -7.822 0.860 -4.618
P -6.937 2.774 1.289
Rh -12.342 1.283 -0.225
Rh -7.246 0.650 -2.332
Rh -2.417 2.351 -3.105
Rh -7.513 2.983 -0.997
```

Calculated values
energy above the lowest structure with this stoichiometry = 0.000 eV/atom
E_tot = -53.4 eV per cell

# 8
This record from Alexandria via LeMat-Bulk describes FeHg3P after structural relaxation. The functional is GGA-PBE.

Geometry as extended XYZ:
```
5
Lattice="4.984 0.000 0.000 0.000 4.984 0.000 0.000 0.000 4.984" Properties=species:S:1:pos:R:3 pbc="T T T"
P 2.492 2.492 2.492
Hg 0.000 2.492 0.000
Hg 0.000 0.000 2.492
Hg 2.492 0.000 0.000
Fe 0.000 0.000 0.000
```

Calculated values
E_tot = -9.3 eV per cell

# 9
This record from Alexandria via LeMat-Bulk describes Cu2I2Br after structural relaxation. The functional is GGA-PBE.

Geometry as extended XYZ:
```
5
Lattice="4.066 0.000 0.000 0.000 4.164 0.000 0.000 0.000 10.011" Properties=species:S:1:pos:R:3 pbc="T T T"
Cu 2.033 0.000 5.231
Cu 0.000 2.082 8.527
I 2.033 2.082 3.768
I 0.000 0.000 6.890
Br 2.033 2.082 9.769
```

Calculated values
energy above the lowest structure with this stoichiometry = 0.000 eV/atom
E_tot = -13.9 eV per cell

# 10
This record from Alexandria via LeMat-Bulk describes KCoPt2 after structural relaxation. The functional is GGA-PBE.

Geometry as extended XYZ:
```
4
Lattice="-2.586 1.961 3.680 -3.253 -3.483 1.168 4.871 -0.396 -0.436" Properties=species:S:1:pos:R:3 pbc="T T T"
Co -2.919 -0.761 2.424
K -0.317 0.402 2.834
Pt 0.000 0.000 0.000
Pt -0.651 -2.320 1.578
```

Calculated values
energy above the lowest structure with this stoichiometry = 0.611 eV/atom
E_tot = -17.4 eV per cell

# 11
This record from Alexandria via LeMat-Bulk describes CeTm2AlC after structural relaxation. The functional is GGA-PBE.

Geometry as extended XYZ:
```
5
Lattice="-0.188 -4.837 -0.043 1.709 -0.027 -4.522 4.518 -0.191 1.709" Properties=species:S:1:pos:R:3 pbc="T T T"
Ce -0.094 -2.419 -0.021
Tm 2.259 -0.096 0.854
Tm 0.855 -0.013 -2.261
Al 3.020 -2.528 -1.428
C 0.000 0.000 0.000
```

Calculated values
E_tot = -29.6 eV per cell

# 12
This record from Alexandria via LeMat-Bulk describes Ba2Bi3Pt after structural relaxation. The functional is GGA-PBE.

Geometry as extended XYZ:
```
12
Lattice="-2.509 -0.849 6.540 -0.857 -6.875 -1.335 9.962 2.254 0.364" Properties=species:S:1:pos:R:3 pbc="T T T"
Ba 2.885 -1.229 4.753
Ba -2.084 -2.399 4.515
Ba 3.711 -4.242 0.816
Ba -1.282 -5.326 0.690
Bi -1.065 -6.185 4.509
Bi 5.891 -3.347 3.796
Bi 7.661 0.714 1.060
Bi 0.704 -2.124 1.773
Bi 3.515 -0.683 1.260
Bi 3.080 -4.788 4.309
Pt 0.516 -4.289 3.390
Pt 6.080 -1.181 2.179
```

Calculated values
energy above the lowest structure with this stoichiometry = 0.008 eV/atom
E_tot = -50.9 eV per cell

# 13
This record from Alexandria via LeMat-Bulk describes MgH4Ir4 after structural relaxation. The functional is GGA-PBE.

Geometry as extended XYZ:
```
9
Lattice="6.969 -0.001 -0.512 0.000 2.791 0.000 0.002 0.000 4.780" Properties=species:S:1:pos:R:3 pbc="T T T"
Mg 5.179 1.764 4.337
H 3.719 0.365 2.632
H 5.919 0.367 0.914
H 5.993 1.760 2.526
H 4.441 1.760 1.557
Ir 0.481 0.367 0.941
Ir 2.838 1.762 1.649
Ir 2.823 0.367 4.146
Ir 0.619 1.762 3.319
```

Calculated values
energy above the lowest structure with this stoichiometry = 0.030 eV/atom
E_tot = -50.5 eV per cell

# 14
This record from Alexandria via LeMat-Bulk describes MgInAu3 after structural relaxation. The functional is GGA-PBE.

Geometry as extended XYZ:
```
5
Lattice="5.050 0.000 0.000 0.000 5.050 0.000 0.000 0.000 5.050" Properties=species:S:1:pos:R:3 pbc="T T T"
Mg 0.000 0.000 0.000
Au 0.000 2.525 0.000
Au 0.000 0.000 2.525
Au 2.525 0.000 0.000
In 2.525 2.525 2.525
```

Calculated values
energy above the lowest structure with this stoichiometry = 0.545 eV/atom
E_tot = -13.1 eV per cell

# 15
This record from Alexandria via LeMat-Bulk describes Be2BiPd after structural relaxation. The functional is GGA-PBE.

Geometry as extended XYZ:
```
8
Lattice="-5.978 -2.775 1.520 2.845 -6.136 -0.015 -0.952 -4.178 3.679" Properties=species:S:1:pos:R:3 pbc="T T T"
Be -3.287 -3.392 1.783
Be 0.461 -5.381 1.185
Be -1.731 -6.816 3.323
Be -3.613 -10.591 4.077
Bi 0.000 0.000 0.000
Bi -4.248 -5.704 2.976
Pd -1.567 -4.456 0.752
Pd 0.163 -7.385 2.208
```

Calculated values
E_tot = -29.9 eV per cell

# 16
This record from Alexandria via LeMat-Bulk describes Rb2NiGeBr6 after structural relaxation. The functional is GGA-PBE.

Geometry as extended XYZ:
```
10
Lattice="7.564 0.000 0.000 0.000 7.564 0.000 3.782 3.782 5.338" Properties=species:S:1:pos:R:3 pbc="T T T"
Ni 3.782 3.782 0.000
Ge 0.000 0.000 0.000
Br 3.782 3.782 2.570
Br 7.564 7.564 2.768
Br 1.958 1.958 0.000
Br 5.606 5.606 0.000
Br 5.606 1.958 0.000
Br 1.958 5.606 0.000
Rb 7.564 3.782 2.669
Rb 3.782 7.564 2.669
```

Calculated values
E_tot = -31.8 eV per cell

# 17
This record from Alexandria via LeMat-Bulk describes Sc5Tl2RuAu2 after structural relaxation. The functional is GGA-PBE.

Geometry as extended XYZ:
```
20
Lattice="-2.849 -0.526 -1.523 0.094 -10.991 3.621 -5.698 3.108 9.581" Properties=species:S:1:pos:R:3 pbc="T T T"
Sc -1.727 -2.109 0.441
Sc -6.725 -6.300 11.237
Sc -6.069 1.657 7.261
Sc -3.889 -6.399 5.968
Sc -2.383 -10.066 4.418
Sc -4.563 -2.010 5.711
Sc -5.268 -4.250 7.804
Sc -3.184 -4.160 3.875
Sc -1.377 -5.759 1.049
Sc -4.273 1.291 4.029
Tl -0.933 -6.874 4.120
Tl -4.670 -1.009 9.082
Tl -1.836 -0.912 3.748
Tl -3.767 -6.971 9.454
Ru 0.000 0.000 0.000
Ru -2.802 -3.941 6.601
Au -3.602 0.495 6.565
Au -2.001 -8.377 6.637
Au -4.872 -4.282 10.591
Au -0.731 -3.601 2.611
```

Calculated values
E_tot = -113.8 eV per cell

# 18
This record from Alexandria via LeMat-Bulk describes K2ZnW after structural relaxation. The functional is GGA-PBE.

Geometry as extended XYZ:
```
4
Lattice="5.482 0.044 0.000 -0.066 5.482 0.000 -2.708 -2.763 3.885" Properties=species:S:1:pos:R:3 pbc="T T T"
K 0.000 0.000 0.000
K -0.033 2.741 1.942
W 2.708 2.763 0.000
Zn 2.741 0.022 1.942
```

Calculated values
E_tot = -10.5 eV per cell

# 19
This record from Alexandria via LeMat-Bulk describes AlCdGeP2 after structural relaxation. The functional is GGA-PBE.

Geometry as extended XYZ:
```
5
Lattice="-1.387 2.479 3.700 2.168 -3.295 3.020 3.961 2.458 -0.162" Properties=species:S:1:pos:R:3 pbc="T T T"
P 1.981 1.229 -0.081
P -0.694 1.239 1.850
Ge 1.084 -1.647 1.510
Al 0.000 0.000 0.000
Cd 2.371 0.821 3.279
```

Calculated values
E_tot = -17.1 eV per cell

# 20
This record from Alexandria via LeMat-Bulk describes KY2In after structural relaxation. The functional is GGA-PBE.

Geometry as extended XYZ:
```
8
Lattice="4.840 0.000 0.000 0.000 4.840 0.000 2.420 2.420 11.846" Properties=species:S:1:pos:R:3 pbc="T T T"
Y 3.754 1.210 2.962
Y 1.086 3.630 2.962
Y 3.630 3.506 8.885
Y 6.050 6.174 8.885
K 2.420 2.420 0.000
K 2.420 4.840 5.923
In 0.000 0.000 0.000
In 4.840 2.420 5.923
```

Calculated values
E_tot = -30.3 eV per cell